Entry 1:
The following is a PBE-GGA calculation of an optimized crystal structure of Ca2Hg4Pd5, from Alexandria.

Summary:
energy relative to the elements	-4.08	eV per formula unit
size of the total moment	0.000	μB/atom
Fermi-level density of states	0.422	states/eV per atom

Cell and atoms, written as POSCAR:
```
Ca2Hg4Pd5
1.0
-3.489 0.556 -4.567
-1.830 -4.484 -2.797
-8.799 -0.170 3.051
Ca Hg Pd
2 4 5
Cartesian
-5.057 0.456 -3.381 Ca
-7.231 -0.071 1.864 Ca
-8.743 -1.313 -0.781 Hg
-5.375 -2.786 -3.533 Hg
-3.600 -1.375 -1.067 Hg
-10.518 -2.724 -3.247 Hg
-1.744 0.278 -2.284 Pd
-0.915 -2.242 -1.399 Pd
-2.660 -1.964 -3.682 Pd
-6.187 -2.188 -1.015 Pd
-7.931 -1.911 -3.299 Pd
```


Entry 2:
The following is a PBE-GGA calculation of an optimized crystal structure of PrTmSb2, from Alexandria.

Summary:
size of the total moment	0.000	μB/atom
energy above the lowest structure with this stoichiometry	48	meV/atom
Fermi-level density of states	0.177	states/eV per atom

Cell and atoms, written as POSCAR:
```
PrTmSb2
1.0
4.433 0.000 0.000
-2.216 3.839 0.000
0.000 0.000 14.635
Pr Tm Sb
2 2 4
Cartesian
2.216 1.280 3.659 Pr
0.000 2.559 10.976 Pr
0.000 0.000 7.317 Tm
0.000 0.000 0.000 Tm
0.000 2.559 5.619 Sb
2.216 1.280 12.937 Sb
2.216 1.280 9.016 Sb
0.000 2.559 1.698 Sb
```


Entry 3:
The following is a PBE-GGA calculation of an optimized crystal structure of La3ZnN, from Alexandria.

Summary:
size of the total moment	0.000	μB/atom
energy above the lowest structure with this stoichiometry	110	meV/atom
Fermi-level density of states	1.000	states/eV per atom

Cell and atoms, written as POSCAR:
```
La3ZnN
1.0
13.628 0.000 0.274
5.571 6.788 -2.754
-5.571 6.788 2.754
Zn N La
4 4 12
Cartesian
2.012 5.723 -0.494 Zn
10.373 5.723 -2.124 Zn
11.616 7.852 0.768 Zn
3.256 7.852 2.397 Zn
7.436 5.918 1.582 N
6.192 7.657 -1.309 N
7.436 9.705 1.582 N
6.192 3.871 -1.309 N
5.283 5.804 0.206 La
1.532 12.592 -0.069 La
8.346 7.772 0.068 La
12.097 0.984 0.342 La
1.525 2.629 -0.124 La
5.289 9.417 0.261 La
12.103 10.947 0.397 La
8.339 4.159 0.013 La
8.042 11.610 0.020 La
12.400 4.822 0.390 La
5.586 1.966 0.253 La
1.228 8.753 -0.116 La
```